# 1
Compound: BaHgSeO
Source: OQMD via LeMat-Bulk
Functional: PBE-GGA
Structure: optimized geometry

Lattice parameters (Å, degrees): 4.5371 4.5371 9.4867 90.00 90.00 90.00
Closest atoms and distances in Å follow each position.
Atoms (fractional coordinates):
Ba1 0.2500 0.2500 0.2173  5 Se 3.30-3.35, 1 Hg 3.50, 4 O 3.51
Ba2 0.7500 0.7500 0.7827  5 Se 3.30-3.35, 1 Hg 3.50, 4 O 3.51
Hg1 0.2500 0.2500 0.5865  4 O 2.41, 1 Se 2.64
Hg2 0.7500 0.7500 0.4135  4 O 2.41, 1 Se 2.64
Se1 0.2500 0.2500 0.8645  1 Hg 2.64
Se2 0.7500 0.7500 0.1355  1 Hg 2.64
O1 0.2500 0.7500 0.5000  4 Hg 2.41
O2 0.7500 0.2500 0.5000  4 Hg 2.41

***

# 2
Compound: Tm3Mg3Tl2Cd
Source: OQMD via LeMat-Bulk
Functional: PBE-GGA
Structure: optimized geometry

Lattice parameters (Å, degrees): 7.5167 7.5167 4.5456 90.00 90.00 120.00
Closest atoms and distances in Å follow each position.
Atoms (fractional coordinates):
Tm1 0.0000 0.5722 0.0000  4 Tl 3.19, 1 Cd 3.22, 2 Mg 3.38
Tm2 0.4278 0.4278 0.0000  4 Tl 3.19, 1 Cd 3.22, 2 Mg 3.38
Tm3 0.5722 0.0000 0.0000  4 Tl 3.19, 1 Cd 3.22, 2 Mg 3.38
Mg1 0.0000 0.2399 0.5000  2 Cd 2.90, 2 Tl 2.92, 2 Mg 3.12
Mg2 0.2399 0.0000 0.5000  2 Cd 2.90, 2 Tl 2.92, 2 Mg 3.12
Mg3 0.7601 0.7601 0.5000  2 Cd 2.90, 2 Tl 2.92, 2 Mg 3.12
Tl1 0.3333 0.6667 0.5000  3 Mg 2.92, 6 Tm 3.19
Tl2 0.6667 0.3333 0.5000  3 Mg 2.92, 6 Tm 3.19
Cd1 0.0000 0.0000 0.0000  6 Mg 2.90, 3 Tm 3.22

***

Final energy values, unit eV per atom, following the record order: -3.789 -2.921.